Compound: Nd3Te2Pd
Source: Alexandria
Functional: PBE
Structure: optimized geometry

Geometry as POSCAR:
```
Nd3Te2Pd
1.0
4.437 0.000 0.000
0.000 4.437 0.000
0.000 0.000 18.685
Nd Te Pd
6 4 2
Direct
0.000 0.000 0.000 Nd
0.000 0.000 0.344 Nd
0.000 0.000 0.656 Nd
0.500 0.500 0.156 Nd
0.500 0.500 0.500 Nd
0.500 0.500 0.844 Nd
0.000 0.000 0.172 Te
0.000 0.000 0.828 Te
0.500 0.500 0.328 Te
0.500 0.500 0.672 Te
0.000 0.000 0.500 Pd
0.500 0.500 0.000 Pd
```

## Properties
Crystal system: tetragonal
D(E_F) (states/eV/cell): 12.32
Formation energy without anion corrections (meV per atom): -1132.9
Total magnetization (μB/cell): 0.00
Theoretical density (Mg/m³): 7.17

Compound: Tb5Pm3Cd2
Source: Alexandria
Functional: PBE
Structure: optimized geometry

Geometry as POSCAR:
```
Tb5Pm3Cd2
1.0
-6.650 7.351 3.334
6.650 -7.351 3.334
6.650 7.351 -3.334
Tb Pm Cd
10 6 4
Direct
0.171 0.099 0.270 Tb
0.250 0.010 0.760 Tb
0.250 0.250 0.000 Tb
0.250 0.490 0.240 Tb
0.329 0.599 0.928 Tb
0.671 0.401 0.072 Tb
0.750 0.510 0.760 Tb
0.750 0.750 0.000 Tb
0.750 0.990 0.240 Tb
0.829 0.901 0.730 Tb
0.226 0.360 0.586 Pm
0.250 0.750 0.500 Pm
0.274 0.860 0.134 Pm
0.726 0.140 0.866 Pm
0.750 0.250 0.500 Pm
0.774 0.640 0.414 Pm
0.137 0.635 0.772 Cd
0.363 0.135 0.498 Cd
0.637 0.865 0.502 Cd
0.863 0.365 0.228 Cd
```

## Properties
Crystal system: orthorhombic
D(E_F) (states/eV/cell): 26.20
Total magnetization (μB/cell): 0.00
Formation energy (meV per atom): 139
Theoretical density (Mg/m³): 7.41

Compound: Cr2Ni2Pt
Source: Alexandria
Functional: PBE
Structure: optimized geometry

Geometry as POSCAR:
```
Cr2Ni2Pt
1.0
7.978 0.000 0.000
0.000 3.719 0.000
-3.951 0.000 4.103
Cr Ni Pt
4 4 2
Direct
0.183 0.000 0.103 Cr
0.317 0.500 0.897 Cr
0.683 0.500 0.103 Cr
0.817 0.000 0.897 Cr
0.090 0.500 0.288 Ni
0.410 0.000 0.712 Ni
0.590 0.000 0.288 Ni
0.910 0.500 0.712 Ni
0.000 0.000 0.500 Pt
0.500 0.500 0.500 Pt
```

## Properties
Crystal system: monoclinic
ΔE to the lowest computed polymorph (eV/atom): 0.0000
D(E_F) (states/eV/cell): 16.33
Total magnetization (μB/cell): 0.00
Formation energy (meV per atom): -9
Theoretical density (Mg/m³): 11.36

Compound: P2RuAuCl
Source: Alexandria
Functional: PBE
Structure: optimized geometry

Geometry as POSCAR:
```
P2RuAuCl
1.0
4.796 0.000 0.000
0.000 4.796 0.000
0.000 0.000 4.936
P Ru Au Cl
2 1 1 1
Direct
0.000 0.500 0.000 P
0.500 0.000 0.000 P
0.000 0.000 0.500 Ru
0.500 0.500 0.000 Au
0.500 0.500 0.500 Cl
```

## Properties
Crystal system: tetragonal
ΔE to the lowest computed polymorph (eV/atom): 0.9059
D(E_F) (states/eV/cell): 5.24
Formation energy without anion corrections (meV per atom): 1435.2
Total magnetization (μB/cell): 2.42
Theoretical density (Mg/m³): 5.78